An optimized crystal structure of PrTh2PN5, computed with PBE.

The calculation puts the density of states at the Fermi level at 5.36 states/eV/cell. The total moment comes out at 0.00 μB/atom.

The structure belongs to space group P4/mbm (No. 127); the cell edges are 6.762, 6.762 and 5.637 Å and the angles 90.00°, 90.00° and 90.00°. The inequivalent atoms are Pr at (0.000, 0.000, 0.000), Th at (0.179, 0.321, 0.500), P at (0.000, 0.500, 0.000), N at (0.000, 0.000, 0.500) and N at (0.131, 0.631, 0.221).

An optimized crystal structure of Pr2ThPN5, computed with PBE.

The total moment comes out at 0.00 μB/atom.

The structure belongs to space group I4/mcm (No. 140); the cell edges are 6.750, 6.750 and 10.901 Å and the angles 90.00°, 90.00° and 90.00°. The inequivalent atoms are Pr at (0.175, 0.325, 0.000), Th at (0.000, 0.000, 0.250), P at (0.000, 0.500, 0.250), N at (0.000, 0.000, 0.000) and N at (0.138, 0.362, 0.342).

An optimized crystal structure of Pr2TiP2N6, computed with PBE.

The total moment comes out at 0.00 μB/atom.

The structure belongs to space group R-3m (No. 166, hexagonal axes); the cell edges are 5.5100, 5.5100 and 15.9803 Å and the angles 90.00°, 90.00° and 120.00°. The inequivalent atoms are Pr at (0.0000, 0.0000, 0.2226), Ti at (0.0000, 0.0000, 0.0000), P at (0.0000, 0.0000, 0.4348) and N at (0.0015, 0.5008, 0.2535).

An optimized crystal structure of Pr3TmP2N6, computed with PBE.

The total moment comes out at 0.00 μB/atom.

The structure belongs to space group P-3m1 (No. 164); the cell edges are 5.7158, 5.7158 and 6.4158 Å and the angles 90.00°, 90.00° and 120.00°. The inequivalent atoms are Pr at (0.0000, 0.0000, 0.0000), Pr at (0.3333, 0.6667, 0.6502), Tm at (0.0000, 0.0000, 0.5000), P at (0.3333, 0.6667, 0.1734) and N at (0.1804, 0.3608, 0.2875).

An optimized crystal structure of PrZn2PN, computed with PBE.

The calculation puts the density of states at the Fermi level at 3.79 states/eV/cell. The total moment comes out at 0.00 μB/atom.

The structure belongs to space group Cmcm (No. 63); the cell edges are 3.741, 11.153 and 7.785 Å and the angles 90.00°, 90.00° and 90.00°. The inequivalent atoms are Pr at (0.000, 0.044, 0.250), Zn at (0.000, 0.328, 0.053), P at (0.000, 0.234, 0.750) and N at (0.000, 0.500, 0.000).

An optimized crystal structure of Pr3ZnP2N6, computed with PBE.

The calculation puts the density of states at the Fermi level at 3.93 states/eV/cell. The total moment comes out at 0.00 μB/atom.

The structure belongs to space group P-3m1 (No. 164); the cell edges are 5.6195, 5.6195 and 6.2681 Å and the angles 90.00°, 90.00° and 120.00°. The inequivalent atoms are Pr at (0.0000, 0.0000, 0.0000), Pr at (0.3333, 0.6667, 0.6521), Zn at (0.0000, 0.0000, 0.5000), P at (0.3333, 0.6667, 0.1889) and N at (0.1763, 0.3526, 0.2902).

An optimized crystal structure of PPtN3, computed with PBE.

The calculation puts the density of states at the Fermi level at 3.28 states/eV/cell. The total moment comes out at 0.00 μB/atom.

The structure belongs to space group Pm-3m (No. 221); the cell edges are 3.537, 3.537 and 3.537 Å and the angles 90.00°, 90.00° and 90.00°. The inequivalent atoms are P at (0.000, 0.000, 0.000), Pt at (0.500, 0.500, 0.500) and N at (0.000, 0.000, 0.500).

An optimized crystal structure of PPt2N, computed with PBE.

The calculation puts the density of states at the Fermi level at 8.42 states/eV/cell. For the energy above the most stable polymorph in this dataset, the calculation gives 0.0000 eV per atom. The total moment comes out at 0.00 μB/atom.

The structure belongs to space group I-42d (No. 122); the cell edges are 4.634, 4.634 and 11.733 Å and the angles 90.00°, 90.00° and 90.00°. The inequivalent atoms are P at (0.000, 0.000, 0.000), Pt at (0.183, 0.250, 0.625) and N at (0.000, 0.000, 0.500).

Calculated values (eV per atom) of ΔE_f (raw) for the records, taken in order: -1.0428; -1.2640; -1.0409; -1.1777; -0.5399; -0.8047; 1.3346; 0.3023.